Entry 1:
The following is a GGA-PBE calculation of a relaxed CdIBrN2 crystal, from Alexandria.

Properties
- formation energy from raw total energies (eV per atom) = 1.8031

Geometry as CIF:
```
data_CdIBrN2
_cell_length_a 4.196
_cell_length_b 4.196
_cell_length_c 7.627
_cell_angle_alpha 90.00
_cell_angle_beta 90.00
_cell_angle_gamma 90.00
_symmetry_space_group_name_H-M 'P 1'
_symmetry_Int_Tables_number 1
_symmetry_space_group_name_Hall 'P 1'
loop_
_atom_site_label
_atom_site_fract_x
_atom_site_fract_y
_atom_site_fract_z
I1 0.000 0.000 0.500
N1 0.000 0.500 0.000
N2 0.500 0.000 0.000
Br1 0.000 0.000 0.000
Cd1 0.500 0.500 0.500
```



Entry 2:
The following is a GGA-PBE calculation of a relaxed Sc2SnRu3 crystal, from Alexandria.

Properties
- formation enthalpy at 0 K (eV per atom) = -0.506

Geometry as CIF:
```
data_Sc2SnRu3
_cell_length_a 3.266
_cell_length_b 4.474
_cell_length_c 7.156
_cell_angle_alpha 108.22
_cell_angle_beta 90.00
_cell_angle_gamma 90.00
_symmetry_space_group_name_H-M 'P 1'
_symmetry_Int_Tables_number 1
_symmetry_space_group_name_Hall 'P 1'
loop_
_atom_site_label
_atom_site_fract_x
_atom_site_fract_y
_atom_site_fract_z
Sc1 0.000 0.335 0.670
Sc2 0.000 0.665 0.330
Sn1 0.000 0.000 0.000
Ru1 0.500 0.500 0.000
Ru2 0.500 0.834 0.667
Ru3 0.500 0.166 0.333
```



no.,E (eV/cell)
1,-11.8
2,-47.5